Below is crystalline AlFe3 at its relaxed geometry, with properties calculated at the GGA-PBEsol level.

Structure (POSCAR):
```
AlFe3
1.0
-1.599 0.142 -1.911
-0.440 -3.901 0.079
-2.940 0.407 3.726
Fe Al
3 1
Direct
0.280 0.500 0.745 Fe
0.500 0.000 0.500 Fe
0.720 0.500 0.255 Fe
0.000 0.000 0.000 Al
```

As for the symmetry: P2/m. The calculation puts the density of states at the Fermi level at 0.8445 states/eV/atom. The value obtained for the formation enthalpy at 0 K is -0.117 eV/atom. The calculation puts the calculated density at 7061 kg/m3.

Below is crystalline Be2MoPb at its relaxed geometry, with properties calculated at the GGA-PBEsol level.

Structure (POSCAR):
```
Be2MoPb
1.0
-0.161 1.524 3.116
-3.628 -1.574 0.582
1.668 -3.228 1.665
Pb Be Mo
1 2 1
Direct
0.500 0.000 0.000 Pb
0.000 0.000 0.500 Be
0.000 0.500 0.000 Be
0.500 0.500 0.500 Mo
```

As for the symmetry: P4/mmm. The calculation puts the density of states at the Fermi level at 0.6778 states/eV/atom. The value obtained for the formation enthalpy at 0 K is 0.531 eV/atom. The calculation puts the calculated density at 9612 kg/m3.

Below is crystalline HgRhSe2N at its relaxed geometry, with properties calculated at the GGA-PBEsol level.

Structure (POSCAR):
```
HgRhSe2N
1.0
-0.249 1.465 3.275
0.694 -4.599 2.110
5.047 0.778 0.036
Rh Hg Se N
1 1 2 1
Direct
0.000 0.000 0.000 Rh
0.500 0.500 0.500 Hg
0.000 0.000 0.500 Se
0.000 0.500 0.000 Se
0.500 0.000 0.000 N
```

For the energy relative to the elements, uncorrected, the calculation gives 0.355 eV per atom. As for the symmetry: P4/mmm. The calculation puts the density of states at the Fermi level at 0.8187 states/eV/atom. The calculation puts the calculated density at 8417 kg/m3.

Below is crystalline CaCdHg2 at its relaxed geometry, with properties calculated at the GGA-PBEsol level.

Structure (POSCAR):
```
CaCdHg2
1.0
4.645 0.000 0.000
0.000 4.648 0.000
-2.323 -2.324 4.284
Ca Hg Cd
1 2 1
Direct
0.500 0.500 0.000 Ca
0.000 0.000 0.000 Hg
0.750 0.250 0.500 Hg
0.250 0.750 0.500 Cd
```

As for the symmetry: I-4m2. The calculation puts the density of states at the Fermi level at 0.3621 states/eV/atom. The value obtained for the formation enthalpy at 0 K is -0.368 eV/atom. The calculation puts the calculated density at 9939 kg/m3.

Below is crystalline Gd2Zn6Ge3 at its relaxed geometry, with properties calculated at the GGA-PBEsol level.

Structure (POSCAR):
```
Gd2Zn6Ge3
1.0
-3.470 -0.826 -1.749
1.600 -7.301 0.274
-3.634 3.248 5.673
Gd Zn Ge
2 6 3
Direct
0.000 0.333 0.667 Gd
0.000 0.667 0.333 Gd
0.500 0.717 0.000 Zn
0.000 0.809 0.809 Zn
0.500 0.283 0.283 Zn
0.000 0.000 0.191 Zn
0.000 0.191 0.000 Zn
0.500 0.000 0.717 Zn
0.500 0.611 0.611 Ge
0.500 0.389 0.000 Ge
0.500 0.000 0.389 Ge
```

As for the symmetry: P-62m. The calculation puts the density of states at the Fermi level at 0.1203 states/eV/atom. The value obtained for the formation enthalpy at 0 K is -0.435 eV/atom. The calculation puts the calculated density at 7980 kg/m3.

Below is crystalline SrMn2Tc at its relaxed geometry, with properties calculated at the GGA-PBEsol level.

Structure (POSCAR):
```
SrMn2Tc
1.0
4.535 0.000 0.000
2.267 3.927 0.000
2.267 1.309 3.703
Mn Sr Tc
2 1 1
Direct
0.000 0.000 0.000 Mn
0.250 0.250 0.250 Mn
0.500 0.500 0.500 Sr
0.750 0.750 0.750 Tc
```

As for the symmetry: F-43m. The calculation puts the density of states at the Fermi level at 1.2200 states/eV/atom. The value obtained for the formation enthalpy at 0 K is 1.034 eV/atom. The calculation puts the calculated density at 7441 kg/m3.

Below is crystalline BeSiPt at its relaxed geometry, with properties calculated at the GGA-PBEsol level.

Structure (POSCAR):
```
BeSiPt
1.0
3.208 0.000 0.000
0.000 3.200 0.000
-1.604 -1.600 3.602
Be Si Pt
1 1 1
Direct
0.004 0.004 0.008 Be
0.329 0.329 0.657 Si
0.668 0.668 0.335 Pt
```

For the energy relative to the elements, uncorrected, the calculation gives -0.460 eV per atom. As for the symmetry: I4mm. The calculation puts the density of states at the Fermi level at 0.3236 states/eV/atom. The calculation puts the calculated density at 10426 kg/m3.

Below is crystalline Tm12Al7Si at its relaxed geometry, with properties calculated at the GGA-PBEsol level.

Structure (POSCAR):
```
Tm12Al7Si
1.0
10.939 -0.007 -0.010
-5.056 9.700 0.010
-5.056 -3.563 9.022
Tm Al Si
24 14 2
Direct
0.500 0.148 0.648 Tm
0.500 0.852 0.352 Tm
0.500 0.648 0.148 Tm
0.500 0.352 0.852 Tm
0.736 0.436 0.574 Tm
0.264 0.564 0.426 Tm
0.264 0.837 0.700 Tm
0.137 0.574 0.837 Tm
0.863 0.663 0.926 Tm
0.736 0.163 0.300 Tm
0.863 0.426 0.163 Tm
0.137 0.337 0.074 Tm
0.863 0.700 0.436 Tm
0.137 0.064 0.800 Tm
0.137 0.300 0.564 Tm
0.863 0.936 0.200 Tm
0.736 0.800 0.663 Tm
0.264 0.200 0.337 Tm
0.264 0.926 0.064 Tm
0.736 0.074 0.936 Tm
0.157 0.828 0.328 Tm
0.843 0.172 0.672 Tm
0.500 0.328 0.172 Tm
0.500 0.672 0.828 Tm
0.263 0.382 0.882 Al
0.737 0.618 0.118 Al
0.500 0.882 0.618 Al
0.500 0.118 0.382 Al
0.000 0.500 0.500 Al
0.000 0.000 0.000 Al
0.145 0.026 0.526 Al
0.855 0.974 0.474 Al
0.855 0.381 0.881 Al
0.500 0.526 0.381 Al
0.500 0.119 0.974 Al
0.145 0.619 0.119 Al
0.500 0.474 0.619 Al
0.500 0.881 0.026 Al
0.000 0.750 0.750 Si
0.000 0.250 0.250 Si
```

For the energy relative to the elements, uncorrected, the calculation gives -0.375 eV per atom. As for the symmetry: I4/mcm. The calculation puts the density of states at the Fermi level at 0.6974 states/eV/atom. The calculation puts the calculated density at 7790 kg/m3.

Below is crystalline Li10B14Cl2O25 at its relaxed geometry, with properties calculated at the GGA-PBEsol level.

Structure (POSCAR):
```
Li10B14Cl2O25
1.0
8.550 0.000 0.000
4.275 7.405 0.000
4.275 2.468 6.981
Li B Cl O
10 14 2 25
Direct
0.135 0.594 0.135 Li
0.594 0.135 0.135 Li
0.135 0.135 0.135 Li
0.135 0.135 0.594 Li
0.544 0.956 0.956 Li
0.544 0.544 0.956 Li
0.956 0.544 0.956 Li
0.544 0.956 0.544 Li
0.956 0.956 0.544 Li
0.956 0.544 0.544 Li
0.399 0.399 0.803 B
0.399 0.399 0.399 B
0.803 0.399 0.399 B
0.399 0.803 0.399 B
0.920 0.241 0.920 B
0.241 0.920 0.920 B
0.920 0.920 0.920 B
0.920 0.920 0.241 B
0.251 0.749 0.749 B
0.251 0.251 0.749 B
0.749 0.251 0.749 B
0.251 0.749 0.251 B
0.749 0.749 0.251 B
0.749 0.251 0.251 B
0.750 0.750 0.750 Cl
0.250 0.250 0.250 Cl
0.900 0.064 0.296 O
0.740 0.900 0.296 O
0.064 0.740 0.296 O
0.740 0.064 0.900 O
0.296 0.064 0.740 O
0.900 0.740 0.064 O
0.900 0.296 0.740 O
0.064 0.296 0.900 O
0.296 0.900 0.064 O
0.296 0.740 0.900 O
0.064 0.900 0.740 O
0.740 0.296 0.064 O
0.561 0.396 0.804 O
0.239 0.561 0.804 O
0.396 0.239 0.804 O
0.239 0.396 0.561 O
0.804 0.396 0.239 O
0.561 0.239 0.396 O
0.561 0.804 0.239 O
0.396 0.804 0.561 O
0.804 0.561 0.396 O
0.804 0.239 0.561 O
0.396 0.561 0.239 O
0.239 0.804 0.396 O
0.000 0.000 0.000 O
```

For the energy relative to the elements, uncorrected, the calculation gives -2.426 eV per atom. As for the symmetry: F23. The calculation puts the density of states at the Fermi level at 0.0000 states/eV/atom. The calculation puts the calculated density at 2599 kg/m3.

Below is crystalline FeIN2O at its relaxed geometry, with properties calculated at the GGA-PBEsol level.

Structure (POSCAR):
```
FeIN2O
1.0
-0.146 3.428 -1.891
-0.488 -1.940 -3.479
-3.980 0.105 0.499
I Fe O N
1 1 1 2
Direct
0.000 0.000 0.000 I
0.500 0.500 0.500 Fe
0.500 0.000 0.000 O
0.000 0.000 0.500 N
0.000 0.500 0.000 N
```

For the energy relative to the elements, uncorrected, the calculation gives 1.593 eV per atom. As for the symmetry: P4/mmm. The calculation puts the density of states at the Fermi level at 1.0569 states/eV/atom. The calculation puts the calculated density at 5968 kg/m3.

Below is crystalline Fe2AgAs2 at its relaxed geometry, with properties calculated at the GGA-PBEsol level.

Structure (POSCAR):
```
Fe2AgAs2
1.0
-3.238 -1.503 -1.132
1.837 -2.033 -2.554
1.261 -2.005 5.250
Ag As Fe
1 2 2
Direct
0.000 0.000 0.000 Ag
0.250 0.750 0.500 As
0.750 0.250 0.500 As
0.614 0.614 0.229 Fe
0.386 0.386 0.771 Fe
```

As for the symmetry: I4/mmm. The calculation puts the density of states at the Fermi level at 0.8105 states/eV/atom. The value obtained for the formation enthalpy at 0 K is 0.241 eV/atom. The calculation puts the calculated density at 8549 kg/m3.

Below is crystalline BaCoBr2 at its relaxed geometry, with properties calculated at the GGA-PBEsol level.

Structure (POSCAR):
```
BaCoBr2
1.0
3.863 0.000 0.000
0.000 4.361 -0.027
0.000 -1.829 5.965
Co Ba Br
1 1 2
Direct
0.500 0.000 0.500 Co
0.500 0.500 0.000 Ba
0.000 0.880 0.712 Br
0.000 0.120 0.288 Br
```

For the energy relative to the elements, uncorrected, the calculation gives -0.629 eV per atom. As for the symmetry: P2/m. The calculation puts the density of states at the Fermi level at 0.7612 states/eV/atom. The calculation puts the calculated density at 5896 kg/m3.

Below is crystalline KLiCr2 at its relaxed geometry, with properties calculated at the GGA-PBEsol level.

Structure (POSCAR):
```
KLiCr2
1.0
3.141 0.000 0.000
0.000 5.204 0.000
0.000 0.000 5.557
Cr K Li
2 1 1
Direct
0.000 0.000 0.000 Cr
0.500 0.500 0.000 Cr
0.500 0.000 0.500 K
0.000 0.500 0.500 Li
```

As for the symmetry: Pmmm. The calculation puts the density of states at the Fermi level at 0.6955 states/eV/atom. The value obtained for the formation enthalpy at 0 K is 1.299 eV/atom. The calculation puts the calculated density at 2743 kg/m3.

Below is crystalline TlInOs2 at its relaxed geometry, with properties calculated at the GGA-PBEsol level.

Structure (POSCAR):
```
TlInOs2
1.0
-2.389 -1.280 -1.031
1.641 -1.953 -1.379
-0.258 -5.185 7.035
In Os Tl
1 2 1
Direct
0.500 0.500 0.793 In
0.000 0.000 0.030 Os
0.500 0.500 0.210 Os
0.000 0.000 0.467 Tl
```

As for the symmetry: P4mm. The calculation puts the density of states at the Fermi level at 0.6274 states/eV/atom. The value obtained for the formation enthalpy at 0 K is 0.436 eV/atom. The calculation puts the calculated density at 15806 kg/m3.

Below is crystalline Si7Tc at its relaxed geometry, with properties calculated at the GGA-PBEsol level.

Structure (POSCAR):
```
Si7Tc
1.0
5.323 0.000 0.000
2.662 4.610 0.000
2.662 1.537 4.346
Si Tc
7 1
Direct
0.000 0.500 0.000 Si
0.500 0.000 0.000 Si
0.000 0.000 0.500 Si
0.500 0.000 0.500 Si
0.000 0.500 0.500 Si
0.500 0.500 0.000 Si
0.500 0.500 0.500 Si
0.000 0.000 0.000 Tc
```

For the energy relative to the elements, uncorrected, the calculation gives 0.220 eV per atom. As for the symmetry: Fm-3m. The calculation puts the density of states at the Fermi level at 0.4244 states/eV/atom. The calculation puts the calculated density at 4586 kg/m3.

Below is crystalline ZnCd2Os at its relaxed geometry, with properties calculated at the GGA-PBEsol level.

Structure (POSCAR):
```
ZnCd2Os
1.0
-1.899 1.974 0.101
-2.756 -3.924 -2.312
0.990 -0.524 5.245
Cd Os Zn
2 1 1
Direct
0.000 0.000 0.500 Cd
0.500 0.500 0.500 Cd
0.000 0.500 0.000 Os
0.500 0.000 0.000 Zn
```

As for the symmetry: C2/m. The calculation puts the density of states at the Fermi level at 0.6753 states/eV/atom. The value obtained for the formation enthalpy at 0 K is 0.446 eV/atom. The calculation puts the calculated density at 12097 kg/m3.

Below is crystalline CuSbPt at its relaxed geometry, with properties calculated at the GGA-PBEsol level.

Structure (POSCAR):
```
CuSbPt
1.0
-2.126 -3.160 1.957
1.626 -1.813 3.522
-1.836 0.691 3.806
Sb Pt Cu
1 1 1
Direct
0.000 0.000 0.000 Sb
0.250 0.250 0.250 Pt
0.500 0.500 0.500 Cu
```

For the energy relative to the elements, uncorrected, the calculation gives -0.203 eV per atom. As for the symmetry: F-43m. The calculation puts the density of states at the Fermi level at 0.4978 states/eV/atom. The calculation puts the calculated density at 11377 kg/m3.

Below is crystalline CdCuIN2 at its relaxed geometry, with properties calculated at the GGA-PBEsol level.

Structure (POSCAR):
```
CdCuIN2
1.0
4.128 0.000 0.000
0.000 4.128 0.000
0.000 0.000 6.402
I N Cu Cd
1 2 1 1
Direct
0.000 0.000 0.500 I
0.000 0.500 0.000 N
0.500 0.000 0.000 N
0.500 0.500 0.500 Cu
0.000 0.000 0.000 Cd
```

For the energy relative to the elements, uncorrected, the calculation gives 1.751 eV per atom. As for the symmetry: P4/mmm. The calculation puts the density of states at the Fermi level at 0.4472 states/eV/atom. The calculation puts the calculated density at 5037 kg/m3.

Below is crystalline Ba2CoSi at its relaxed geometry, with properties calculated at the GGA-PBEsol level.

Structure (POSCAR):
```
Ba2CoSi
1.0
-2.579 -1.200 -4.354
4.195 -2.746 1.378
-4.405 -0.436 2.729
Ba Co Si
2 1 1
Direct
0.000 0.000 0.000 Ba
0.750 0.500 0.250 Ba
0.500 0.000 0.500 Co
0.250 0.500 0.750 Si
```

For the energy relative to the elements, uncorrected, the calculation gives 0.433 eV per atom. As for the symmetry: F-43m. The calculation puts the density of states at the Fermi level at 1.7946 states/eV/atom. The calculation puts the calculated density at 6041 kg/m3.

Below is crystalline Ta2RhAu at its relaxed geometry, with properties calculated at the GGA-PBEsol level.

Structure (POSCAR):
```
Ta2RhAu
1.0
2.820 0.026 0.000
-0.025 2.820 0.000
0.000 0.000 8.099
Au Rh Ta
1 1 2
Direct
0.500 0.500 0.500 Au
0.500 0.500 0.000 Rh
0.000 0.000 0.235 Ta
0.000 0.000 0.765 Ta
```

As for the symmetry: P4/mmm. The calculation puts the density of states at the Fermi level at 0.8707 states/eV/atom. The value obtained for the formation enthalpy at 0 K is -0.284 eV/atom. The calculation puts the calculated density at 17057 kg/m3.